Record 1
DFT (meta-GGA SCAN) results for a crystal of SrNiP2O relaxed with PBEsol.

Lattice parameters (Å, degrees): 5.3962 5.3962 4.0349 90.00 90.00 90.00
With the nearest neighbours (Å) after each atom.
Space group P4/mmm (No. 123)
Inequivalent atoms, fractional coordinates:
Sr: 0.0000 0.0000 0.0000 x1  2 O 2.02
Ni: 0.5000 0.5000 0.5000 x1  8 P 3.37
P: 0.0000 0.5000 0.0000 x2  2 Sr 2.70
O: 0.0000 0.0000 0.5000 x1  2 Sr 2.02

Calculated values
As for the density: 3170 kg/m3. The total energy is -11.79 eV per atom. The calculation puts the density of states at the Fermi level at 4.97 states/eV/cell. The formation energy from raw total energies comes out at 6.55 eV per formula unit. For the total magnetic moment, the calculation gives 0.2 Bohr magnetons per cell.

---

Record 2
DFT (meta-GGA SCAN) results for a crystal of SrNi2P2O8 relaxed with PBEsol.

Lattice parameters (Å, degrees): 5.4376 6.7499 9.0953 111.57 100.98 98.15
With the nearest neighbours (Å) after each atom.
Space group P-1 (No. 2)
Inequivalent atoms, fractional coordinates:
Sr: 0.2398 0.2028 0.4460 x2  7 O 2.50-2.65
Ni: 0.1462 0.8606 0.0618 x2  6 O 1.95-2.12
Ni: 0.4850 0.3997 0.1591 x2  5 O 1.98-2.20
P: 0.1067 0.5696 0.2556 x2  4 O 1.53-1.57
P: 0.3471 0.0245 0.8051 x2  4 O 1.52-1.58
O: 0.1188 0.4005 0.0852 x2  1 P 1.57
O: 0.1191 0.9503 0.8685 x2  1 P 1.56
O: 0.1491 0.4867 0.7027 x2  1 P 1.54
O: 0.1562 0.8026 0.2622 x2  1 P 1.53
O: 0.2482 0.0064 0.6321 x2  1 P 1.52
O: 0.3370 0.5447 0.3743 x2  1 P 1.56
O: 0.4523 0.1245 0.1970 x2  1 P 1.58
O: 0.4866 0.7418 0.0686 x2  1 P 1.58

Calculated values
As for the density: 4425 kg/m3. The total energy is -12.06 eV per atom. The calculation puts the density of states at the Fermi level at 0.00 states/eV/cell. The formation energy from raw total energies comes out at -31.47 eV per formula unit. For the total magnetic moment, the calculation gives 8.0 Bohr magnetons per cell.